1.
Density functional theory data (GGA-PBE) for a relaxed Li6Hg2Pd3 crystal.

Lattice parameters (Å, degrees): 2.9502 8.1522 8.1521 78.81 90.00 90.00
Closest atoms and distances in Å follow each position.
Element x y z (fractional)
Li 0.5000 0.3346 0.9456  3 Pd 2.57-2.68, 2 Hg 2.79
Li 0.5000 0.6654 0.0544  3 Pd 2.57-2.68, 2 Hg 2.79
Li 0.5000 0.9456 0.3346  3 Pd 2.57-2.68, 2 Hg 2.79
Li 0.5000 0.0544 0.6654  3 Pd 2.57-2.68, 2 Hg 2.79
Li 0.5000 0.3537 0.3537  2 Pd 2.55, 4 Hg 2.85
Li 0.5000 0.6463 0.6463  2 Pd 2.55, 4 Hg 2.85
Hg 0.0000 0.6534 0.3466  8 Li 2.79-2.85, 2 Hg 2.95
Hg 0.0000 0.3466 0.6534  8 Li 2.79-2.85, 2 Hg 2.95
Pd 0.0000 0.1883 0.1883  6 Li 2.55-2.57, 2 Pd 2.79
Pd 0.0000 0.8117 0.8117  6 Li 2.55-2.57, 2 Pd 2.79
Pd 0.5000 0.0000 0.0000  4 Li 2.68, 6 Pd 2.79-2.95


2.
Density functional theory data (GGA-PBE) for a relaxed CsAsAu2O4 crystal.

Lattice parameters (Å, degrees): 5.6584 6.1714 6.1714 99.23 117.20 117.20
Closest atoms and distances in Å follow each position.
Element x y z (fractional)
O 0.3501 0.2746 0.2746  1 As 1.68
O 0.6491 0.9245 0.9245  1 As 1.68
O 0.0001 0.9985 0.6909  1 As 1.83
O 0.0001 0.6909 0.9985  1 As 1.83
Au 0.5004 0.3241 0.8242  2 O 2.21
Au 0.5004 0.8242 0.3241  2 O 2.21
As 0.9998 0.9845 0.9845  4 O 1.68-1.83
Cs 0.0001 0.4788 0.4788  2 O 2.78


3.
Density functional theory data (GGA-PBE) for a relaxed AlCo2P crystal.

Lattice parameters (Å, degrees): 4.3748 4.3748 3.9503 75.87 75.87 38.11
Closest atoms and distances in Å follow each position.
Element x y z (fractional)
Al 0.2502 0.2502 0.1934  7 Co 2.32-2.47
Co 0.9923 0.9923 0.0636  3 Al 2.32-2.40, 4 P 2.43-2.45
Co 0.7667 0.7667 0.6760  3 P 2.29-2.43, 4 Al 2.41-2.47
P 0.4907 0.4907 0.5670  7 Co 2.29-2.45


4.
Density functional theory data (GGA-PBE) for a relaxed LiP2 crystal.

Lattice parameters (Å, degrees): 5.1119 5.1119 5.1119 142.93 142.93 53.43
Closest atoms and distances in Å follow each position.
Element x y z (fractional)
P 0.2901 0.2901 0.0000  4 P 2.41, 1 Li 2.65
P 0.7099 0.7099 0.0000  4 P 2.41, 1 Li 2.65
Li 0.0000 0.0000 0.0000  2 P 2.65


Number 1: E_tot -30.4 eV/cell. Number 2: E_tot -37.6 eV/cell. Number 3: E_tot -25.0 eV/cell. Number 4: E_tot -13.1 eV/cell.